Entry 1:
CsNaIO2: optimized geometry, GGA-PBEsol.

CIF file:
```
data_CsNaIO2
_chemical_formula_sum 'Cs1 Na1 I1 O2'
_space_group_name_H-M_alt 'P 1'
_space_group_IT_number 1
_space_group_name_Hall 'P 1'
_cell_length_a 5.044
_cell_length_b 5.044
_cell_length_c 5.921
_cell_angle_alpha 90.00
_cell_angle_beta 90.00
_cell_angle_gamma 90.00
loop_
_atom_site_label
_atom_site_type_symbol
_atom_site_fract_x
_atom_site_fract_y
_atom_site_fract_z
_atom_site_occupancy
I1 I 0.000 0.000 0.500 1
O1 O 0.000 0.500 0.000 1
O2 O 0.500 0.000 0.000 1
Na1 Na 0.000 0.000 0.000 1
Cs1 Cs 0.500 0.500 0.500 1
```

## Properties
ΔE_f (raw) = -18 kJ/mol of atoms


Entry 2:
Cs2NaPrI6: optimized geometry, GGA-PBEsol.

CIF file:
```
data_Cs2NaPrI6
_chemical_formula_sum 'Cs2 Na1 Pr1 I6'
_space_group_name_H-M_alt 'P 1'
_space_group_IT_number 1
_space_group_name_Hall 'P 1'
_cell_length_a 8.679
_cell_length_b 8.679
_cell_length_c 8.679
_cell_angle_alpha 60.00
_cell_angle_beta 60.00
_cell_angle_gamma 60.00
loop_
_atom_site_label
_atom_site_type_symbol
_atom_site_fract_x
_atom_site_fract_y
_atom_site_fract_z
_atom_site_occupancy
I1 I 0.251 0.749 0.749 1
I2 I 0.749 0.251 0.749 1
I3 I 0.251 0.749 0.251 1
I4 I 0.251 0.251 0.749 1
I5 I 0.749 0.749 0.251 1
I6 I 0.749 0.251 0.251 1
Na1 Na 0.500 0.500 0.500 1
Pr1 Pr 0.000 0.000 0.000 1
Cs1 Cs 0.750 0.750 0.750 1
Cs2 Cs 0.250 0.250 0.250 1
```

## Properties
ΔE_f (raw) = -137 kJ/mol of atoms


Entry 3:
Cs2NaSbI6: optimized geometry, GGA-PBEsol.

CIF file:
```
data_Cs2NaSbI6
_chemical_formula_sum 'Cs2 Na1 Sb1 I6'
_space_group_name_H-M_alt 'P 1'
_space_group_IT_number 1
_space_group_name_Hall 'P 1'
_cell_length_a 8.547
_cell_length_b 8.547
_cell_length_c 8.547
_cell_angle_alpha 60.00
_cell_angle_beta 60.00
_cell_angle_gamma 60.00
loop_
_atom_site_label
_atom_site_type_symbol
_atom_site_fract_x
_atom_site_fract_y
_atom_site_fract_z
_atom_site_occupancy
Sb1 Sb 0.000 0.000 0.000 1
I1 I 0.754 0.246 0.246 1
I2 I 0.754 0.246 0.754 1
I3 I 0.246 0.754 0.754 1
I4 I 0.754 0.754 0.246 1
I5 I 0.246 0.246 0.754 1
I6 I 0.246 0.754 0.246 1
Cs1 Cs 0.250 0.250 0.250 1
Cs2 Cs 0.750 0.750 0.750 1
Na1 Na 0.500 0.500 0.500 1
```

## Properties
ΔE_f (raw) = -96 kJ/mol of atoms


Entry 4:
CsNb6I11: optimized geometry, GGA-PBEsol.

CIF file:
```
data_CsNb6I11
_chemical_formula_sum 'Cs2 Nb12 I22'
_space_group_name_H-M_alt 'P 1'
_space_group_IT_number 1
_space_group_name_Hall 'P 1'
_cell_length_a 10.893
_cell_length_b 10.893
_cell_length_c 11.805
_cell_angle_alpha 90.00
_cell_angle_beta 90.00
_cell_angle_gamma 120.00
loop_
_atom_site_label
_atom_site_type_symbol
_atom_site_fract_x
_atom_site_fract_y
_atom_site_fract_z
_atom_site_occupancy
I1 I 0.628 0.981 0.343 1
I2 I 0.667 0.333 0.048 1
I3 I 0.628 0.647 0.157 1
I4 I 0.647 0.628 0.843 1
I5 I 0.278 0.278 0.000 1
I6 I 0.722 0.000 0.000 1
I7 I 0.353 0.372 0.343 1
I8 I 0.981 0.628 0.657 1
I9 I 0.000 0.722 0.000 1
I10 I 0.647 0.019 0.657 1
I11 I 0.353 0.981 0.157 1
I12 I 0.019 0.647 0.343 1
I13 I 0.278 0.000 0.500 1
I14 I 0.372 0.353 0.657 1
I15 I 0.333 0.667 0.952 1
I16 I 0.372 0.019 0.843 1
I17 I 0.667 0.333 0.452 1
I18 I 0.333 0.667 0.548 1
I19 I 0.722 0.722 0.500 1
I20 I 0.981 0.353 0.843 1
I21 I 0.019 0.372 0.157 1
I22 I 0.000 0.278 0.500 1
Nb1 Nb 0.514 0.322 0.849 1
Nb2 Nb 0.514 0.192 0.651 1
Nb3 Nb 0.192 0.514 0.349 1
Nb4 Nb 0.808 0.322 0.651 1
Nb5 Nb 0.486 0.678 0.349 1
Nb6 Nb 0.678 0.486 0.651 1
Nb7 Nb 0.322 0.514 0.151 1
Nb8 Nb 0.486 0.808 0.151 1
Nb9 Nb 0.678 0.192 0.849 1
Nb10 Nb 0.322 0.808 0.349 1
Nb11 Nb 0.192 0.678 0.151 1
Nb12 Nb 0.808 0.486 0.849 1
Cs1 Cs 0.000 0.000 0.750 1
Cs2 Cs 0.000 0.000 0.250 1
```

## Properties
ΔE_f (raw) = -55 kJ/mol of atoms


Entry 5:
Cs3NbI: optimized geometry, GGA-PBEsol.

CIF file:
```
data_Cs3NbI
_chemical_formula_sum 'Cs3 Nb1 I1'
_space_group_name_H-M_alt 'P 1'
_space_group_IT_number 1
_space_group_name_Hall 'P 1'
_cell_length_a 6.952
_cell_length_b 6.952
_cell_length_c 6.952
_cell_angle_alpha 90.00
_cell_angle_beta 90.00
_cell_angle_gamma 90.00
loop_
_atom_site_label
_atom_site_type_symbol
_atom_site_fract_x
_atom_site_fract_y
_atom_site_fract_z
_atom_site_occupancy
Cs1 Cs 0.000 0.500 0.000 1
Cs2 Cs 0.500 0.000 0.000 1
Cs3 Cs 0.000 0.000 0.500 1
I1 I 0.500 0.500 0.500 1
Nb1 Nb 0.000 0.000 0.000 1
```

## Properties
ΔE_f (raw) = 56 kJ/mol of atoms


Entry 6:
Cs2NiI: optimized geometry, GGA-PBEsol.

CIF file:
```
data_Cs2NiI
_chemical_formula_sum 'Cs2 Ni1 I1'
_space_group_name_H-M_alt 'P 1'
_space_group_IT_number 1
_space_group_name_Hall 'P 1'
_cell_length_a 6.219
_cell_length_b 6.219
_cell_length_c 6.219
_cell_angle_alpha 60.00
_cell_angle_beta 60.00
_cell_angle_gamma 60.00
loop_
_atom_site_label
_atom_site_type_symbol
_atom_site_fract_x
_atom_site_fract_y
_atom_site_fract_z
_atom_site_occupancy
Cs1 Cs 0.750 0.750 0.750 1
Cs2 Cs 0.250 0.250 0.250 1
I1 I 0.500 0.500 0.500 1
Ni1 Ni 0.000 0.000 0.000 1
```

## Properties
ΔE_f (raw) = -6 kJ/mol of atoms


The records above yield DOS(E_F) values of 2.6 0.0 0.0 9.2 1.7 6.9 states/eV/f.u., respectively.